CeNp2PaSe4: relaxed, PBE.

- Energy: -8.204 eV/atom
- Formation energy without anion corrections: -1.30 eV per atom
- DOS at the Fermi energy: 17.43 states/eV per cell
- SG: P2/m (10)
- M_tot: 8.06 μB/f.u.

Unit cell a=4.0941 b=7.1108 c=7.1141 alpha=109.34 beta=90.00 gamma=90.00
With the nearest neighbours (Å) after each atom.
Fractional coordinates of all 8 atoms:
1 Pa 0.5000 0.5000 0.0000  6 Se 2.91
2 Ce 0.0000 0.0000 0.0000  6 Se 2.93-2.94
3 Se 0.5000 0.2550 0.2562  3 Np 2.87-2.89, 1 Pa 2.91, 2 Ce 2.93
4 Se 0.0000 0.2510 0.7449  3 Np 2.87-2.89, 2 Pa 2.91, 1 Ce 2.94
5 Se 0.0000 0.7490 0.2551  3 Np 2.87-2.89, 2 Pa 2.91, 1 Ce 2.94
6 Se 0.5000 0.7450 0.7438  3 Np 2.87-2.89, 1 Pa 2.91, 2 Ce 2.93
7 Np 0.0000 0.5000 0.5000  6 Se 2.87
8 Np 0.5000 0.0000 0.5000  6 Se 2.89